An optimized crystal structure of LaMgZr2O, computed with PBE-GGA.

Results
Energy relative to the elements, uncorrected (eV per formula unit): -5.0
Polymorph energy (0 for the lowest one) (meV/atom): 0
Uncorrected energy (eV/atom): -6.71
Crystal system: tetragonal
Total moment (μB/atom): 0.0001
Volume (Å³/atom): 21.086

abc: 4.5624 4.5624 5.0651
angles: 90.00 90.00 90.00
Closest atoms and distances in Å follow each position.
Space group P4/mmm (No. 123)
Asymmetric unit:
La 0.0000 0.0000 0.0000  2 O 2.53
Mg 0.5000 0.5000 0.0000  4 La 3.23, 8 Zr 3.41
Zr 0.0000 0.5000 0.5000  2 O 2.28
O 0.0000 0.0000 0.5000  4 Zr 2.28, 2 La 2.53